# 1
## FeBiTeN2 (PBE-GGA)

Data for a geometry-optimized FeBiTeN2 structure.

Calculated values
The total moment comes out at 5.36 μB per formula unit. As for the density of states at the Fermi level: 1.36 states/eV per atom. The value obtained for the total energy is -4.6143 eV/atom. As for the energy relative to the lowest polymorph listed for this composition: 625 meV per atom. Its energy relative to the elements, uncorrected is 1.813 eV/atom.

abc: 4.2322 4.2322 6.6374
angles: 90.00 90.00 90.00
Closest atoms and distances in Å follow each position.
Space group P4/mmm (No. 123)
Symmetry-distinct sites (fractional):
Fe  0.0000  0.0000  0.0000 [1 per cell]  4 Te 2.99
Bi  0.5000  0.5000  0.5000 [1 per cell]  4 N 2.12
Te  0.5000  0.5000  0.0000 [1 per cell]  4 Fe 2.99, 2 Bi 3.32
N  0.0000  0.5000  0.5000 [2 per cell]  2 Bi 2.12

=====

# 2
## FeBiTe2N (PBE-GGA)

Data for a geometry-optimized FeBiTe2N structure.

Calculated values
The total moment comes out at 2.85 μB per formula unit. As for the density of states at the Fermi level: 2.26 states/eV per atom. The value obtained for the total energy is -3.9015 eV/atom. As for the energy relative to the lowest polymorph listed for this composition: 1247 meV per atom. Its energy relative to the elements, uncorrected is 1.489 eV/atom.

abc: 5.9301 5.9301 4.2679
angles: 90.00 90.00 90.00
Closest atoms and distances in Å follow each position.
Space group P4/mmm (No. 123)
Symmetry-distinct sites (fractional):
Fe  0.0000  0.0000  0.0000 [1 per cell]  8 Te 3.65
Bi  0.5000  0.5000  0.5000 [1 per cell]  2 N 2.13
Te  0.0000  0.5000  0.5000 [2 per cell]  2 Bi 2.97
N  0.5000  0.5000  0.0000 [1 per cell]  2 Bi 2.13